La3Er4Sc2 after structural relaxation, computed with GGA-PBE.

The structure in extended XYZ format:
```
18
Lattice="7.3350 -6.3785 0.0000 7.3350 6.3785 0.0000 -0.3673 0.0000 6.1644" Properties=species:S:1:pos:R:3 pbc="T T T"
La 7.0595 5.7441 4.6233
La 5.7943 2.8284 2.4016
La 8.6921 2.8284 0.6805
La 5.6106 -2.8284 5.4838
La 8.5084 -2.8284 3.7627
La 7.2432 -5.7441 1.5411
Er 2.9701 0.8201 3.7530
Er 3.1537 -0.8201 0.6708
Er 5.5923 0.8606 5.6902
Er 5.7760 -0.8606 2.6080
Er 8.5267 0.8606 3.5564
Er 8.7104 -0.8606 0.4742
Er 11.1490 0.8201 5.4936
Er 11.3326 -0.8201 2.4114
Sc 4.2496 3.9470 5.3707
Sc 9.8694 3.9470 3.8759
Sc 4.4333 -3.9470 2.2885
Sc 10.0531 -3.9470 0.7937
```

Results
energy relative to the elements	0.148	eV/atom
final energy	-4.930	eV/atom
symmetry	No. 15